1.
## CsSbHSe2 (PBE-GGA)

Data for a geometry-optimized CsSbHSe2 structure.

Values from the calculation:
D(E_F) = 1.46 states/eV/f.u.

```
data_CsSbHSe2
_chemical_formula_sum 'Cs2 Sb2 H2 Se4'
_cell_length_a 7.742
_cell_length_b 4.689
_cell_length_c 9.448
_cell_angle_alpha 90.00
_cell_angle_beta 111.79
_cell_angle_gamma 90.00
_space_group_name_H-M_alt 'P 1 2/c 1'
_space_group_IT_number 13
loop_
_space_group_symop_operation_xyz
'x,y,z'
'-x,-y,-z'
'-x,y,-z+1/2'
'x,-y,z+1/2'
loop_
_atom_site_label
_atom_site_fract_x
_atom_site_fract_y
_atom_site_fract_z
_atom_site_occupancy
Cs1 0.000 0.222 0.250 1
Sb1 0.500 0.058 0.750 1
H1 0.500 0.500 0.000 1
Se1 0.320 0.297 0.030 1
```

=====

2.
## CsTcSbH2 (PBE-GGA)

Data for a geometry-optimized CsTcSbH2 structure.

Values from the calculation:
D(E_F) = 2.01 states/eV/f.u.

```
data_CsTcSbH2
_chemical_formula_sum 'Cs2 Tc2 Sb2 H4'
_cell_length_a 3.370
_cell_length_b 3.670
_cell_length_c 14.858
_cell_angle_alpha 90.00
_cell_angle_beta 90.00
_cell_angle_gamma 90.00
_space_group_name_H-M_alt 'I m m 2'
_space_group_IT_number 44
loop_
_space_group_symop_operation_xyz
'x,y,z'
'-x,-y,z'
'-x,y,z'
'x,-y,z'
'x+1/2,y+1/2,z+1/2'
'-x+1/2,-y+1/2,z+1/2'
'-x+1/2,y+1/2,z+1/2'
'x+1/2,-y+1/2,z+1/2'
loop_
_atom_site_label
_atom_site_fract_x
_atom_site_fract_y
_atom_site_fract_z
_atom_site_occupancy
Cs1 0.000 0.000 0.000 1
Tc1 0.000 0.000 0.293 1
Sb1 0.000 0.000 0.709 1
H1 0.000 0.000 0.407 1
H2 0.000 0.500 0.842 1
```

=====

So what do the calculations give for total energy? Going down the list: -3.42, -4.39 eV per atom.